No. 1
The following is a GGA-PBE calculation of a geometry-optimized TlBi2O5 structure, from the Alexandria database.

abc: 4.3917 6.1612 11.5496
angles: 90.00 90.00 110.88
Closest atoms and distances in Å follow each position.
Fractional positions:
Tl: 0.8184 0.6367 0.7500  6 O 2.24-2.42
Tl: 0.1816 0.3633 0.2500  6 O 2.24-2.42
Bi: 0.8595 0.7190 0.4329  6 O 2.24-2.47
Bi: 0.8595 0.7190 0.0671  6 O 2.24-2.47
Bi: 0.1405 0.2810 0.5671  6 O 2.24-2.47
Bi: 0.1405 0.2810 0.9329  6 O 2.24-2.47
O: 0.9498 0.8996 0.8924  1 Tl 2.24, 2 Bi 2.24-2.27
O: 0.9498 0.8996 0.6076  1 Tl 2.24, 2 Bi 2.24-2.27
O: 0.2997 0.5993 0.4234  3 Bi 2.30-2.47, 1 Tl 2.42
O: 0.2997 0.5993 0.0766  3 Bi 2.30-2.47, 1 Tl 2.42
O: 0.7620 0.5240 0.2500  2 Tl 2.38, 2 Bi 2.39
O: 0.2380 0.4760 0.7500  2 Tl 2.38, 2 Bi 2.39
O: 0.7003 0.4007 0.5766  3 Bi 2.30-2.47, 1 Tl 2.42
O: 0.7003 0.4007 0.9234  3 Bi 2.30-2.47, 1 Tl 2.42
O: 0.0502 0.1004 0.1076  1 Tl 2.24, 2 Bi 2.24-2.27
O: 0.0502 0.1004 0.3924  1 Tl 2.24, 2 Bi 2.24-2.27

excess energy over the best structure of this formula in the dataset: 0 meV per atom
theoretical density: 8.0 g/cm³
raw formation energy: -7.47 eV/f.u.
energy: -84.8 eV/cell



No. 2
The following is a GGA-PBE calculation of a geometry-optimized TlBi3O structure, from the Alexandria database.

abc: 5.0928 5.0928 5.0928
angles: 90.00 90.00 90.00
Closest atoms and distances in Å follow each position.
Fractional positions:
Tl: 0.5000 0.5000 0.5000  12 Bi 3.60
Bi: 0.0000 0.5000 0.0000  2 O 2.55
Bi: 0.0000 0.0000 0.5000  2 O 2.55
Bi: 0.5000 0.0000 0.0000  2 O 2.55
O: 0.0000 0.0000 0.0000  6 Bi 2.55

excess energy over the best structure of this formula in the dataset: 0 meV per atom
theoretical density: 10.7 g/cm³
raw formation energy: -0.49 eV/f.u.
energy: -19.5 eV/cell



No. 3
The following is a GGA-PBE calculation of a geometry-optimized TlBiO3 structure, from the Alexandria database.

abc: 3.7950 6.4909 8.6835
angles: 118.32 90.00 90.00
Closest atoms and distances in Å follow each position.
Fractional positions:
Tl: 0.2500 0.1745 0.6903  5 O 2.12-2.37
Tl: 0.7500 0.8255 0.3097  5 O 2.12-2.37
Bi: 0.2500 0.2258 0.1864  5 O 2.22-2.44
Bi: 0.7500 0.7742 0.8136  5 O 2.22-2.44
O: 0.2500 0.0419 0.8964  3 Bi 2.22-2.44, 1 Tl 2.33
O: 0.7500 0.9581 0.1036  3 Bi 2.22-2.44, 1 Tl 2.33
O: 0.2500 0.0376 0.3842  3 Tl 2.25-2.37
O: 0.7500 0.9624 0.6158  3 Tl 2.25-2.37
O: 0.2500 0.5440 0.7964  1 Tl 2.12, 2 Bi 2.38
O: 0.7500 0.4560 0.2036  1 Tl 2.12, 2 Bi 2.38

theoretical density: 8.1 g/cm³
raw formation energy: -4.54 eV/f.u.
energy: -51.3 eV/cell